The following is a DFT calculation (PBE) of a geometry-optimized TaS2ClO structure.

## Properties
distance to the lowest polymorph of the same formula	801	meV/atom
ΔE_f (raw)	0.833	eV per atom
Fermi-level density of states	0.940	states/eV per atom

a = 4.2279 Å, b = 4.2279 Å, c = 4.2093 Å
α = 90.00°, β = 90.00°, γ = 90.00°
Closest atoms and distances in Å follow each position.
Element x y z (fractional)
Ta 0.0000 0.0000 0.0000  8 S 2.98, 4 Cl 2.99
S 0.0000 0.5000 0.5000  2 O 2.11
S 0.5000 0.0000 0.5000  2 O 2.11
Cl 0.5000 0.5000 0.0000  2 O 2.10
O 0.5000 0.5000 0.5000  2 Cl 2.10, 4 S 2.11


The following is a DFT calculation (PBE) of a geometry-optimized SiMo2Au structure.

## Properties
ΔE_f (raw)	0.140	eV per atom
Fermi-level density of states	0.619	states/eV per atom

a = 2.9645 Å, b = 3.9897 Å, c = 5.3318 Å
α = 90.00°, β = 90.00°, γ = 90.00°
Closest atoms and distances in Å follow each position.
Element x y z (fractional)
Si 0.0000 0.0000 0.0000  2 Au 2.67, 8 Mo 2.75, 2 Si 2.96
Mo 0.5000 0.5000 0.2202  1 Mo 2.35
Mo 0.5000 0.5000 0.7798  1 Mo 2.35
Au 0.0000 0.0000 0.5000  2 Si 2.67, 8 Mo 2.90, 2 Au 2.96


The following is a DFT calculation (PBE) of a geometry-optimized Pu2Zn4Ga3Ge structure.

## Properties
energy of formation	-0.24	eV/atom
Fermi-level density of states	2.346	states/eV per atom

a = 4.2297 Å, b = 4.2297 Å, c = 10.5841 Å
α = 90.00°, β = 90.00°, γ = 90.00°
Closest atoms and distances in Å follow each position.
Element x y z (fractional)
Pu 0.0000 0.5000 0.2473  8 Zn 3.21-3.41, 6 Ga 3.24-3.36, 2 Ge 3.36
Pu 0.5000 0.0000 0.7527  8 Zn 3.21-3.41, 6 Ga 3.24-3.36, 2 Ge 3.36
Zn 0.0000 0.0000 0.5000  4 Ga 2.56
Zn 0.0000 0.5000 0.8636  3 Ga 2.41-2.56, 2 Ge 2.56
Zn 0.5000 0.0000 0.1364  3 Ga 2.41-2.56, 2 Ge 2.56
Zn 0.5000 0.5000 0.5000  4 Ga 2.56
Ga 0.0000 0.0000 0.0000  4 Zn 2.56
Ga 0.0000 0.5000 0.6359  5 Zn 2.41-2.56
Ga 0.5000 0.0000 0.3641  5 Zn 2.41-2.56
Ge 0.5000 0.5000 0.0000  4 Zn 2.56


The following is a DFT calculation (PBE) of a geometry-optimized NbGeSb structure.

## Properties
ΔE_f (raw)	-0.034	eV per atom
Fermi-level density of states	0.266	states/eV per atom

a = 3.7450 Å, b = 4.5591 Å, c = 9.2184 Å
α = 103.86°, β = 101.65°, γ = 90.01°
Closest atoms and distances in Å follow each position.
Element x y z (fractional)
Nb 0.0000 0.0000 0.0000  4 Sb 2.93, 4 Nb 2.95, 4 Ge 3.08-3.09
Nb 0.5000 0.5000 0.0000  4 Ge 2.80, 4 Nb 2.95
Ge 0.1179 0.6162 0.2371  4 Nb 2.80-3.09, 4 Sb 2.95-2.96
Ge 0.8821 0.3838 0.7629  4 Nb 2.80-3.09, 4 Sb 2.95-2.96
Sb 0.3723 0.8743 0.7431  4 Nb 2.93-3.21, 4 Ge 2.95-2.96
Sb 0.6277 0.1257 0.2569  4 Nb 2.93-3.21, 4 Ge 2.95-2.96


The following is a DFT calculation (PBE) of a geometry-optimized TbHoThZr structure.

## Properties
energy of formation	0.17	eV/atom
Fermi-level density of states	1.914	states/eV per atom

a = 7.7454 Å, b = 7.7454 Å, c = 7.7454 Å
α = 90.00°, β = 90.00°, γ = 90.00°
Closest atoms and distances in Å follow each position.
Element x y z (fractional)
Tb 0.0000 0.0000 0.0000  4 Zr 3.35, 4 Ho 3.35
Tb 0.0000 0.5000 0.5000  4 Zr 3.35, 4 Ho 3.35
Tb 0.5000 0.0000 0.5000  4 Zr 3.35, 4 Ho 3.35
Tb 0.5000 0.5000 0.0000  4 Zr 3.35, 4 Ho 3.35
Ho 0.2500 0.2500 0.2500  4 Tb 3.35, 4 Th 3.35
Ho 0.2500 0.7500 0.7500  4 Tb 3.35, 4 Th 3.35
Ho 0.7500 0.2500 0.7500  4 Tb 3.35, 4 Th 3.35
Ho 0.7500 0.7500 0.2500  4 Tb 3.35, 4 Th 3.35
Th 0.0000 0.0000 0.5000  4 Ho 3.35, 4 Zr 3.35
Th 0.0000 0.5000 0.0000  4 Ho 3.35, 4 Zr 3.35
Th 0.5000 0.0000 0.0000  4 Ho 3.35, 4 Zr 3.35
Th 0.5000 0.5000 0.5000  4 Ho 3.35, 4 Zr 3.35
Zr 0.2500 0.2500 0.7500  4 Tb 3.35, 4 Th 3.35
Zr 0.2500 0.7500 0.2500  4 Tb 3.35, 4 Th 3.35
Zr 0.7500 0.2500 0.2500  4 Tb 3.35, 4 Th 3.35
Zr 0.7500 0.7500 0.7500  4 Tb 3.35, 4 Th 3.35


The following is a DFT calculation (PBE) of a geometry-optimized MgHg2Rh structure.

## Properties
energy of formation	-0.12	eV/atom
Fermi-level density of states	0.488	states/eV per atom

a = 3.9610 Å, b = 4.1728 Å, c = 8.9557 Å
α = 90.00°, β = 90.00°, γ = 90.00°
Closest atoms and distances in Å follow each position.
Element x y z (fractional)
Mg 0.0000 0.0000 0.0000  8 Hg 2.88-3.03, 4 Rh 2.92-3.12
Mg 0.5000 0.5000 0.5000  8 Hg 2.88-3.03, 4 Rh 2.92-3.12
Hg 0.0000 0.0000 0.5094  4 Mg 2.88, 4 Rh 2.99-3.06, 4 Hg 3.02-3.03
Hg 0.0000 0.5000 0.7551  4 Rh 2.88, 4 Hg 3.02-3.03, 4 Mg 3.02-3.03
Hg 0.5000 0.0000 0.2551  4 Rh 2.88, 4 Hg 3.02-3.03, 4 Mg 3.02-3.03
Hg 0.5000 0.5000 0.0094  4 Mg 2.88, 4 Rh 2.99-3.06, 4 Hg 3.02-3.03
Rh 0.0000 0.5000 0.2597  8 Hg 2.88-3.06, 4 Mg 2.92-3.12
Rh 0.5000 0.0000 0.7597  8 Hg 2.88-3.06, 4 Mg 2.92-3.12


The following is a DFT calculation (PBE) of a geometry-optimized Nb3GaH3 structure.

## Properties
distance to the lowest polymorph of the same formula	204	meV/atom
Fermi-level density of states	0.638	states/eV per atom

a = 6.8714 Å, b = 6.8714 Å, c = 6.8714 Å
α = 48.78°, β = 48.78°, γ = 48.78°
Closest atoms and distances in Å follow each position.
Element x y z (fractional)
Nb 0.0972 0.4087 0.7863  4 H 1.93-1.99
Nb 0.2137 0.9028 0.5913  4 H 1.93-1.99
Nb 0.4087 0.7863 0.0972  4 H 1.93-1.99
Nb 0.5913 0.2137 0.9028  4 H 1.93-1.99
Nb 0.7863 0.0972 0.4087  4 H 1.93-1.99
Nb 0.9028 0.5913 0.2137  4 H 1.93-1.99
Ga 0.3336 0.3336 0.3336  6 Nb 2.63-2.64
Ga 0.6664 0.6664 0.6664  6 Nb 2.63-2.64
H 0.1311 0.7754 0.4830  4 Nb 1.93-1.99
H 0.2246 0.5170 0.8689  4 Nb 1.93-1.99
H 0.4830 0.1311 0.7754  4 Nb 1.93-1.99
H 0.5170 0.8689 0.2246  4 Nb 1.93-1.99
H 0.7754 0.4830 0.1311  4 Nb 1.93-1.99
H 0.8689 0.2246 0.5170  4 Nb 1.93-1.99


The following is a DFT calculation (PBE) of a geometry-optimized NaIn3Hg7 structure.

## Properties
energy of formation	-0.03	eV/atom
distance to the lowest polymorph of the same formula	4	meV/atom
Fermi-level density of states	0.336	states/eV per atom

a = 6.9111 Å, b = 6.9111 Å, c = 6.3838 Å
α = 93.22°, β = 93.22°, γ = 86.67°
Closest atoms and distances in Å follow each position.
Element x y z (fractional)
Na 0.0000 0.0000 0.0000  8 Hg 3.11-3.45
In 0.3153 0.6847 0.5000  7 Hg 2.99-3.34
In 0.5000 0.5000 0.0000  6 Hg 3.14-3.16
In 0.6847 0.3153 0.5000  7 Hg 2.99-3.34
Hg 0.0000 0.0000 0.5000  2 In 2.99, 2 Hg 3.05, 2 Na 3.19
Hg 0.0852 0.4327 0.7854  4 Hg 3.12-3.48, 3 In 3.14-3.34, 1 Na 3.45
Hg 0.2623 0.2623 0.2912  3 Hg 3.05-3.14, 1 Na 3.11, 3 In 3.14-3.17
Hg 0.4327 0.0852 0.7854  4 Hg 3.12-3.48, 3 In 3.14-3.34, 1 Na 3.45
Hg 0.5673 0.9148 0.2146  4 Hg 3.12-3.48, 3 In 3.14-3.34, 1 Na 3.45
Hg 0.7377 0.7377 0.7088  3 Hg 3.05-3.14, 1 Na 3.11, 3 In 3.14-3.17
Hg 0.9148 0.5673 0.2146  4 Hg 3.12-3.48, 3 In 3.14-3.34, 1 Na 3.45


The following is a DFT calculation (PBE) of a geometry-optimized SiIrAu2O structure.

## Properties
ΔE_f (raw)	0.117	eV per atom
Fermi-level density of states	0.835	states/eV per atom

a = 4.9354 Å, b = 4.9354 Å, c = 3.2374 Å
α = 90.00°, β = 90.00°, γ = 90.00°
Closest atoms and distances in Å follow each position.
Element x y z (fractional)
Si 0.0000 0.0000 0.0000  2 O 1.62
Ir 0.5000 0.5000 0.5000  8 Au 2.95, 2 Ir 3.24
Au 0.0000 0.5000 0.0000  2 Si 2.47
Au 0.5000 0.0000 0.0000  2 Si 2.47
O 0.0000 0.0000 0.5000  2 Si 1.62


The following is a DFT calculation (PBE) of a geometry-optimized CsAs2Se5 structure.

## Properties
ΔE_f (raw)	-0.086	eV per atom
Fermi-level density of states	0.535	states/eV per atom

a = 7.3502 Å, b = 7.5620 Å, c = 10.7295 Å
α = 90.00°, β = 90.00°, γ = 90.00°
Closest atoms and distances in Å follow each position.
Element x y z (fractional)
Cs 0.0000 0.0000 0.0000  6 Se 3.78-4.17
Cs 0.5000 0.5000 0.5000  6 Se 3.78-4.17
As 0.0000 0.5000 0.2354  3 Se 2.26-2.53
As 0.0000 0.5000 0.7646  3 Se 2.26-2.53
As 0.5000 0.0000 0.2646  3 Se 2.26-2.53
As 0.5000 0.0000 0.7354  3 Se 2.26-2.53
Se 0.0000 0.2471 0.3471  1 As 2.26
Se 0.0000 0.2471 0.6529  1 As 2.26
Se 0.0000 0.5000 0.0000  2 As 2.53
Se 0.0000 0.7529 0.3471  1 As 2.26
Se 0.0000 0.7529 0.6529  1 As 2.26
Se 0.5000 0.0000 0.5000  2 As 2.53
Se 0.5000 0.2529 0.1529  1 As 2.26
Se 0.5000 0.2529 0.8471  1 As 2.26
Se 0.5000 0.7471 0.1529  1 As 2.26
Se 0.5000 0.7471 0.8471  1 As 2.26


The following is a DFT calculation (PBE) of a geometry-optimized BaZr2GaN structure.

## Properties
ΔE_f (raw)	1.356	eV per atom
Fermi-level density of states	1.141	states/eV per atom

a = 4.9786 Å, b = 4.9786 Å, c = 6.3043 Å
α = 90.00°, β = 90.00°, γ = 90.00°
Closest atoms and distances in Å follow each position.
Element x y z (fractional)
Ba 0.0000 0.0000 0.0000  2 Ga 3.15, 4 N 3.52
Zr 0.0000 0.5000 0.5000  2 Ga 2.49
Zr 0.5000 0.0000 0.5000  2 Ga 2.49
Ga 0.0000 0.0000 0.5000  4 Zr 2.49
N 0.5000 0.5000 0.0000  4 Ba 3.52


The following is a DFT calculation (PBE) of a geometry-optimized Li3PaF8 structure.

## Properties
distance to the lowest polymorph of the same formula	0	meV/atom
ΔE_f (raw)	-3.340	eV per atom
Fermi-level density of states	0.000	states/eV per atom

a = 5.2225 Å, b = 5.2225 Å, c = 5.2225 Å
α = 90.00°, β = 90.00°, γ = 90.00°
Closest atoms and distances in Å follow each position.
Element x y z (fractional)
Li 0.0000 0.0000 0.5000  8 F 2.28
Li 0.0000 0.5000 0.0000  8 F 2.28
Li 0.5000 0.0000 0.0000  8 F 2.28
Pa 0.5000 0.5000 0.5000  8 F 2.21
F 0.2553 0.2553 0.2553  1 Pa 2.21, 3 Li 2.28
F 0.2553 0.2553 0.7447  1 Pa 2.21, 3 Li 2.28
F 0.2553 0.7447 0.2553  1 Pa 2.21, 3 Li 2.28
F 0.2553 0.7447 0.7447  1 Pa 2.21, 3 Li 2.28
F 0.7447 0.2553 0.2553  1 Pa 2.21, 3 Li 2.28
F 0.7447 0.2553 0.7447  1 Pa 2.21, 3 Li 2.28
F 0.7447 0.7447 0.2553  1 Pa 2.21, 3 Li 2.28
F 0.7447 0.7447 0.7447  1 Pa 2.21, 3 Li 2.28


| no. | density (g/cm³) |
| --- | --- |
| 1 | 6.544 |
| 2 | 10.979 |
| 3 | 9.045 |
| 4 | 6.384 |
| 5 | 9.250 |
| 6 | 11.855 |
| 7 | 6.930 |
| 8 | 9.693 |
| 9 | 13.271 |
| 10 | 3.773 |
| 11 | 4.288 |
| 12 | 4.708 |